The following is a GGA+U calculation of a relaxed structure of HfCoO3, from the Open Quantum Materials Database.

Results
The value obtained for the total magnetization is 3.00 μB per formula unit. The symmetry is Pm-3m. Its total energy is -39.3 eV/f.u. Its crystal system is cubic.

Lattice parameters (Å, degrees): 4.0395 4.0395 4.0395 90.00 90.00 90.00
Last column: nearest neighbours and their distance in Å.
Sites, in units of the cell vectors:
O  0.5000  0.0000  0.5000  2 Hf 2.02
O  0.5000  0.5000  0.0000  2 Hf 2.02
O  0.0000  0.5000  0.5000  2 Hf 2.02
Co  0.0000  0.0000  0.0000  12 O 2.86
Hf  0.5000  0.5000  0.5000  6 O 2.02